1:
Below is a relaxed structure of AgAuSO, with properties calculated at the PBE level.

Cell: 6.2674 7.4244 6.0097 Å, 90.00 100.66 90.00°
Closest atoms and distances in Å follow each position.
Element x y z (fractional)
Ag (0.9249, 0.2299, 0.0534)  1 O 2.21, 1 S 2.46
S (0.7748, 0.9041, 0.1009)  1 Au 2.35, 2 Ag 2.46-2.63
S (0.2252, 0.0959, 0.8991)  1 Au 2.35, 2 Ag 2.46-2.63
S (0.7748, 0.5959, 0.6009)  1 Au 2.35, 2 Ag 2.46-2.63
O (0.3839, 0.6460, 0.9003)  3 Au 2.12-2.36, 1 Ag 2.21
O (0.3839, 0.8540, 0.4003)  3 Au 2.12-2.36, 1 Ag 2.21
Au (0.5617, 0.6222, 0.2362)  3 O 2.12-2.36, 1 S 2.35
S (0.2252, 0.4041, 0.3991)  1 Au 2.35, 2 Ag 2.46-2.63
Au (0.4383, 0.1222, 0.2638)  3 O 2.12-2.36, 1 S 2.35
Ag (0.0751, 0.7299, 0.4466)  1 O 2.21, 1 S 2.46
O (0.6161, 0.3540, 0.0997)  3 Au 2.12-2.36, 1 Ag 2.21
Au (0.4383, 0.3778, 0.7638)  3 O 2.12-2.36, 1 S 2.35
Ag (0.0751, 0.7701, 0.9466)  1 O 2.21, 1 S 2.46
Ag (0.9249, 0.2701, 0.5534)  1 O 2.21, 1 S 2.46
Au (0.5617, 0.8778, 0.7362)  3 O 2.12-2.36, 1 S 2.35
O (0.6161, 0.1460, 0.5997)  3 Au 2.12-2.36, 1 Ag 2.21

## Properties
**Space group**: P2_1/c, No. 14

2:
Below is a relaxed structure of AgAuSO, with properties calculated at the PBE level.

Cell: 3.5208 7.7514 5.1798 Å, 90.00 90.00 90.00°
Closest atoms and distances in Å follow each position.
Element x y z (fractional)
O (0.5000, 0.1287, 0.1151)  1 Au 2.07, 2 Ag 2.32
S (0.0000, 0.6489, 0.1283)  2 Au 2.41, 3 Ag 2.53-2.60
O (0.5000, 0.8713, 0.6151)  1 Au 2.07, 2 Ag 2.32
Au (0.5000, 0.1384, 0.6195)  1 O 2.07
Ag (0.0000, 0.3230, 0.1281)  2 O 2.32, 1 S 2.53
Au (0.5000, 0.8616, 0.1195)  1 O 2.07
Ag (0.0000, 0.6770, 0.6281)  2 O 2.32, 1 S 2.53
S (0.0000, 0.3511, 0.6283)  2 Au 2.41, 3 Ag 2.53-2.60

## Properties
**Space group**: Pmc2_1, No. 26

3:
Below is a relaxed structure of AgAuSO, with properties calculated at the PBE level.

Cell: 4.3846 4.3846 7.5885 Å, 90.00 90.00 90.00°
Closest atoms and distances in Å follow each position.
Element x y z (fractional)
Au (0.7500, 0.7500, 0.9627)  4 O 2.21
O (0.2500, 0.7500, 0.0000)  4 Au 2.21
Ag (0.7500, 0.2500, 0.5000)  4 S 2.54
Ag (0.2500, 0.7500, 0.5000)  4 S 2.54
Au (0.2500, 0.2500, 0.0373)  4 O 2.21
S (0.7500, 0.7500, 0.3322)  4 Ag 2.54, 1 Au 2.80
S (0.2500, 0.2500, 0.6678)  4 Ag 2.54, 1 Au 2.80
O (0.7500, 0.2500, 0.0000)  4 Au 2.21

## Properties
**Space group**: P4/nmm, No. 129

If we sort the structures by their calculated energies, the order from most to least stable is 1, 2, 3.

1:
Below is a relaxed structure of AgAuSeO, with properties calculated at the PBE level.

Cell: 6.4911 7.5222 6.0555 Å, 90.00 100.06 90.00°
Closest atoms and distances in Å follow each position.
Element x y z (fractional)
Ag (0.9141, 0.2536, 0.5348)  1 O 2.21
O (0.3866, 0.6461, 0.9004)  3 Au 2.15-2.39, 1 Ag 2.21
Se (0.2192, 0.4076, 0.3870)  2 Au 2.49-2.75, 2 Ag 2.59-2.76
Au (0.4393, 0.1216, 0.2655)  3 O 2.15-2.39
Ag (0.0859, 0.7464, 0.4652)  1 O 2.21
Au (0.5607, 0.8784, 0.7345)  3 O 2.15-2.39
Ag (0.9141, 0.2464, 0.0348)  1 O 2.21
Au (0.5607, 0.6216, 0.2345)  3 O 2.15-2.39
Se (0.2192, 0.0924, 0.8870)  2 Au 2.49-2.75, 2 Ag 2.59-2.76
O (0.6134, 0.3539, 0.0996)  3 Au 2.15-2.39, 1 Ag 2.21
Se (0.7808, 0.5924, 0.6130)  2 Au 2.49-2.75, 2 Ag 2.59-2.76
Se (0.7808, 0.9076, 0.1130)  2 Au 2.49-2.75, 2 Ag 2.59-2.76
O (0.6134, 0.1461, 0.5996)  3 Au 2.15-2.39, 1 Ag 2.21
O (0.3866, 0.8539, 0.4004)  3 Au 2.15-2.39, 1 Ag 2.21
Au (0.4393, 0.3784, 0.7655)  3 O 2.15-2.39
Ag (0.0859, 0.7536, 0.9652)  1 O 2.21

## Properties
**Space group**: P2_1/c, No. 14

2:
Below is a relaxed structure of AgAuSeO, with properties calculated at the PBE level.

Cell: 3.5920 7.8682 5.3480 Å, 90.00 90.00 90.00°
Closest atoms and distances in Å follow each position.
Element x y z (fractional)
O (0.5000, 0.8842, 0.5769)  1 Au 2.05
Se (0.0000, 0.3696, 0.6558)  2 Au 2.54, 3 Ag 2.66-2.77
Se (0.0000, 0.6304, 0.1558)  2 Au 2.54, 3 Ag 2.66-2.77
Ag (0.0000, 0.7073, 0.6501)  2 O 2.31
Au (0.5000, 0.8562, 0.1082)  1 O 2.05
Au (0.5000, 0.1438, 0.6082)  1 O 2.05
Ag (0.0000, 0.2927, 0.1501)  2 O 2.31
O (0.5000, 0.1158, 0.0769)  1 Au 2.05

## Properties
**Space group**: Pmc2_1, No. 26

3:
Below is a relaxed structure of AgAuSeO, with properties calculated at the PBE level.

Cell: 4.3424 4.3424 8.2966 Å, 90.00 90.00 90.00°
Closest atoms and distances in Å follow each position.
Element x y z (fractional)
Au (0.7500, 0.7500, 0.9549)  4 O 2.20
O (0.2500, 0.7500, 0.0000)  4 Au 2.20
Ag (0.7500, 0.2500, 0.5000)  4 Se 2.65
Au (0.2500, 0.2500, 0.0451)  4 O 2.20
Ag (0.2500, 0.7500, 0.5000)  4 Se 2.65
Se (0.7500, 0.7500, 0.3168)  4 Ag 2.65
O (0.7500, 0.2500, 0.0000)  4 Au 2.20
Se (0.2500, 0.2500, 0.6832)  4 Ag 2.65

## Properties
**Space group**: P4/nmm, No. 129

If we sort the structures by their calculated energies, the order from most to least stable is 1, 2, 3.